Here is HoZrMo after structural relaxation from OQMD. Energies are from PBE-GGA.

Properties
space group = F-43m
calculated formation energy = 0.988 eV per atom
spin magnetization = 0.1 μB/f.u.
total DFT energy (no corrections) = -7.003 eV/atom

a = 4.6895 Å, b = 4.6895 Å, c = 4.6895 Å
α = 60.00°, β = 60.00°, γ = 60.00°
Element x y z (fractional)
Ho: 0.0000 0.0000 0.0000
Zr: 0.2500 0.2500 0.2500
Mo: 0.5000 0.5000 0.5000


Here is HoN after structural relaxation from OQMD. Energies are from PBE-GGA.

Properties
space group = Pmma
spin magnetization = 0.0 μB/f.u.
total DFT energy (no corrections) = -7.523 eV/atom

a = 6.3069 Å, b = 3.4783 Å, c = 6.0743 Å
α = 90.00°, β = 90.00°, γ = 90.00°
Element x y z (fractional)
Ho: 0.0000 0.0000 0.0000
Ho: 0.2500 0.5000 0.4934
Ho: 0.5000 0.0000 0.0000
Ho: 0.7500 0.5000 0.5066
N: 0.2500 0.0000 0.7048
N: 0.2500 0.5000 0.1294
N: 0.7500 0.0000 0.2952
N: 0.7500 0.5000 0.8706


Here is HoN after structural relaxation from OQMD. Energies are from PBE-GGA.

Properties
space group = F-43m
spin magnetization = 0.0 μB/f.u.
total DFT energy (no corrections) = -7.955 eV/atom

a = 3.6922 Å, b = 3.6922 Å, c = 3.6922 Å
α = 60.00°, β = 60.00°, γ = 60.00°
Element x y z (fractional)
Ho: 0.0000 0.0000 0.0000
N: 0.7500 0.7500 0.7500


Here is Ho5N after structural relaxation from OQMD. Energies are from PBE-GGA.

Properties
space group = P6/mmm
spin magnetization = 0.3 μB/f.u.
total DFT energy (no corrections) = -3.804 eV/atom

a = 6.1428 Å, b = 6.1428 Å, c = 5.9572 Å
α = 90.00°, β = 90.00°, γ = 120.00°
Element x y z (fractional)
Ho: 0.0000 0.5000 0.0000
Ho: 0.3333 0.6667 0.5000
Ho: 0.5000 0.0000 0.0000
Ho: 0.5000 0.5000 0.0000
Ho: 0.6667 0.3333 0.5000
N: 0.0000 0.0000 0.5000


Here is HoN after structural relaxation from OQMD. Energies are from PBE-GGA.

Properties
space group = Fm-3m
spin magnetization = 0.0 μB/f.u.
total DFT energy (no corrections) = -8.197 eV/atom

a = 3.4350 Å, b = 3.4350 Å, c = 3.4350 Å
α = 60.00°, β = 60.00°, γ = 60.00°
Element x y z (fractional)
Ho: 0.0000 0.0000 0.0000
N: 0.5000 0.5000 0.5000


Here is Ho2N3 after structural relaxation from OQMD. Energies are from PBE-GGA.

Properties
space group = Ia-3
spin magnetization = 3.0 μB/f.u.
total DFT energy (no corrections) = -7.338 eV/atom

a = 9.3573 Å, b = 9.3573 Å, c = 9.3573 Å
α = 109.47°, β = 109.47°, γ = 109.47°
Element x y z (fractional)
Ho: 0.0000 0.0000 0.5000
Ho: 0.0000 0.5000 0.0000
Ho: 0.0290 0.7500 0.7790
Ho: 0.2210 0.9710 0.2500
Ho: 0.2500 0.2210 0.9710
Ho: 0.2500 0.7210 0.4710
Ho: 0.2790 0.5290 0.7500
Ho: 0.4710 0.2500 0.7210
Ho: 0.5000 0.0000 0.0000
Ho: 0.5000 0.5000 0.5000
Ho: 0.5290 0.7500 0.2790
Ho: 0.7210 0.4710 0.2500
Ho: 0.7500 0.2790 0.5290
Ho: 0.7500 0.7790 0.0290
Ho: 0.7790 0.0290 0.7500
Ho: 0.9710 0.2500 0.2210
N: 0.0106 0.0376 0.2700
N: 0.0270 0.4894 0.7594
N: 0.0376 0.2700 0.0106
N: 0.2300 0.2676 0.7406
N: 0.2324 0.4624 0.4730
N: 0.2406 0.9730 0.5106
N: 0.2594 0.7700 0.7324
N: 0.2676 0.7406 0.2300
N: 0.2700 0.0106 0.0376
N: 0.4624 0.4730 0.2324
N: 0.4730 0.2324 0.4624
N: 0.4894 0.7594 0.0270
N: 0.5106 0.2406 0.9730
N: 0.5270 0.7676 0.5376
N: 0.5376 0.5270 0.7676
N: 0.7300 0.9894 0.9624
N: 0.7324 0.2594 0.7700
N: 0.7406 0.2300 0.2676
N: 0.7594 0.0270 0.4894
N: 0.7676 0.5376 0.5270
N: 0.7700 0.7324 0.2594
N: 0.9624 0.7300 0.9894
N: 0.9730 0.5106 0.2406
N: 0.9894 0.9624 0.7300


Here is Ho2NbN3 after structural relaxation from OQMD. Energies are from PBE-GGA.

Properties
space group = P-3m1
spin magnetization = 0.0 μB/f.u.
total DFT energy (no corrections) = -8.859 eV/atom

a = 3.3103 Å, b = 3.3103 Å, c = 8.1279 Å
α = 90.00°, β = 90.00°, γ = 120.00°
Element x y z (fractional)
Ho: 0.3333 0.6667 0.3256
Ho: 0.6667 0.3333 0.6744
Nb: 0.0000 0.0000 0.0000
N: 0.0000 0.0000 0.5000
N: 0.3333 0.6667 0.8505
N: 0.6667 0.3333 0.1495


Here is HoNb2N3 after structural relaxation from OQMD. Energies are from PBE-GGA.

Properties
space group = P-3m1
spin magnetization = 0.0 μB/f.u.
total DFT energy (no corrections) = -9.491 eV/atom

a = 3.2282 Å, b = 3.2282 Å, c = 7.8352 Å
α = 90.00°, β = 90.00°, γ = 120.00°
Element x y z (fractional)
Ho: 0.0000 0.0000 0.0000
Nb: 0.3333 0.6667 0.3466
Nb: 0.6667 0.3333 0.6534
N: 0.0000 0.0000 0.5000
N: 0.3333 0.6667 0.8145
N: 0.6667 0.3333 0.1855